Entry 1:
NpUIrRh | PBE | optimized geometry

Geometry as POSCAR:
```
NpUIrRh
1.0
0.000 3.416 3.416
3.416 0.000 3.416
3.416 3.416 0.000
Np U Ir Rh
1 1 1 1
Cartesian
0.000 0.000 0.000
3.416 3.416 3.416
1.708 1.708 1.708
5.124 5.124 5.124
```

Computed properties:
density of states at the Fermi level	8.491	states/eV per cell
ΔH_f (0 K)	-296.9	meV per atom
magnetic moment	6.096	Bohr magnetons per cell
energy relative to the lowest polymorph listed for this composition	0.231	eV/atom
calculated density	16.041	g cm⁻³

***

Entry 2:
NpUIrRh | PBE | optimized geometry

Geometry as POSCAR:
```
NpUIrRh
1.0
0.000 3.263 3.263
3.263 0.000 3.263
3.263 3.263 0.000
Np U Ir Rh
1 1 1 1
Cartesian
0.000 0.000 0.000
1.632 1.632 1.632
3.263 3.263 3.263
4.895 4.895 4.895
```

Computed properties:
density of states at the Fermi level	4.311	states/eV per cell
ΔH_f (0 K)	-527.7	meV per atom
magnetic moment	3.117	Bohr magnetons per cell
energy relative to the lowest polymorph listed for this composition	0.000	eV/atom
calculated density	18.397	g cm⁻³

***

Entry 3:
NpZnIrRh | PBE | optimized geometry

Geometry as POSCAR:
```
NpZnIrRh
1.0
0.000 3.246 3.246
3.246 0.000 3.246
3.246 3.246 0.000
Np Zn Ir Rh
1 1 1 1
Cartesian
0.000 0.000 0.000
3.246 3.246 3.246
1.623 1.623 1.623
4.870 4.870 4.870
```

Computed properties:
density of states at the Fermi level	4.907	states/eV per cell
ΔH_f (0 K)	-338.0	meV per atom
magnetic moment	2.993	Bohr magnetons per cell
calculated density	14.499	g cm⁻³

***

Entry 4:
NpIrRu | PBE | optimized geometry

Geometry as POSCAR:
```
NpIrRu
1.0
4.541 0.000 0.000
-2.270 3.933 0.000
0.000 0.000 2.867
Np Ir Ru
1 1 1
Cartesian
0.000 0.000 0.000
2.271 1.311 2.003
0.000 2.622 0.694
```

Computed properties:
density of states at the Fermi level	4.876	states/eV per cell
ΔH_f (0 K)	22.3	meV per atom
magnetic moment	2.117	Bohr magnetons per cell
energy relative to the lowest polymorph listed for this composition	0.169	eV/atom
calculated density	17.201	g cm⁻³

***

Entry 5:
NpIrRu | PBE | optimized geometry

Geometry as POSCAR:
```
NpIrRu
1.0
2.298 -3.969 0.000
2.298 3.969 0.000
0.000 0.000 5.662
Np Ir Ru
2 2 2
Cartesian
2.298 2.646 4.247
2.298 -2.646 1.416
2.298 0.000 0.000
2.298 0.000 2.831
2.298 2.652 1.416
2.298 -2.652 4.247
```

Computed properties:
density of states at the Fermi level	11.005	states/eV per cell
ΔH_f (0 K)	-147.1	meV per atom
magnetic moment	3.890	Bohr magnetons per cell
energy relative to the lowest polymorph listed for this composition	0.000	eV/atom
calculated density	17.055	g cm⁻³

***

Entry 6:
NpIrRu2 | PBE | optimized geometry

Geometry as POSCAR:
```
NpIrRu2
1.0
4.030 0.000 0.000
0.000 4.030 0.000
0.000 0.000 3.929
Np Ir Ru
1 1 2
Cartesian
0.000 0.000 0.000
2.015 2.015 0.000
0.000 2.015 1.965
2.015 0.000 1.965
```

Computed properties:
density of states at the Fermi level	4.051	states/eV per cell
ΔH_f (0 K)	-235.1	meV per atom
magnetic moment	0.617	Bohr magnetons per cell
energy relative to the lowest polymorph listed for this composition	0.000	eV/atom
calculated density	16.425	g cm⁻³

***

Entry 7:
NpIrRu2 | PBE | optimized geometry

Geometry as POSCAR:
```
NpIrRu2
1.0
2.328 1.344 3.641
-2.328 1.344 3.641
0.000 -2.688 3.641
Np Ir Ru
1 1 2
Cartesian
0.000 0.000 0.000
0.000 0.000 5.461
0.000 0.000 2.345
0.000 0.000 8.578
```

Computed properties:
density of states at the Fermi level	6.710	states/eV per cell
ΔH_f (0 K)	6.3	meV per atom
magnetic moment	1.450	Bohr magnetons per cell
energy relative to the lowest polymorph listed for this composition	0.241	eV/atom
calculated density	15.338	g cm⁻³

***

Entry 8:
NpSi4Ir2Ru | PBE | optimized geometry

Geometry as POSCAR:
```
NpSi4Ir2Ru
1.0
2.039 1.177 8.564
-2.039 1.177 8.564
0.000 -2.355 8.564
Np Si Ir Ru
1 4 2 1
Cartesian
0.000 0.000 0.000
0.000 0.000 3.314
0.000 0.000 10.229
0.000 0.000 15.464
0.000 0.000 22.379
0.000 0.000 5.967
0.000 0.000 19.725
0.000 0.000 12.846
```

Computed properties:
density of states at the Fermi level	8.305	states/eV per cell
E_form (uncorrected)	-0.54	eV/atom
magnetic moment	3.500	Bohr magnetons per cell
calculated density	11.238	g cm⁻³

***

Entry 9:
NpUIrRu | PBE | optimized geometry

Geometry as POSCAR:
```
NpUIrRu
1.0
0.000 3.395 3.395
3.395 0.000 3.395
3.395 3.395 0.000
Np U Ir Ru
1 1 1 1
Cartesian
0.000 0.000 0.000
3.395 3.395 3.395
5.093 5.093 5.093
1.698 1.698 1.698
```

Computed properties:
density of states at the Fermi level	7.293	states/eV per cell
ΔH_f (0 K)	-188.6	meV per atom
magnetic moment	5.293	Bohr magnetons per cell
energy relative to the lowest polymorph listed for this composition	0.173	eV/atom
calculated density	16.302	g cm⁻³

***

Entry 10:
NpUIrRu | PBE | optimized geometry

Geometry as POSCAR:
```
NpUIrRu
1.0
0.000 3.252 3.252
3.252 0.000 3.252
3.252 3.252 0.000
Np U Ir Ru
1 1 1 1
Cartesian
0.000 0.000 0.000
1.626 1.626 1.626
4.878 4.878 4.878
3.252 3.252 3.252
```

Computed properties:
density of states at the Fermi level	5.102	states/eV per cell
ΔH_f (0 K)	-361.8	meV per atom
magnetic moment	2.408	Bohr magnetons per cell
energy relative to the lowest polymorph listed for this composition	0.000	eV/atom
calculated density	18.550	g cm⁻³

***

Entry 11:
YNpIrRu | PBE | optimized geometry

Geometry as POSCAR:
```
YNpIrRu
1.0
0.000 3.407 3.407
3.407 0.000 3.407
3.407 3.407 0.000
Y Np Ir Ru
1 1 1 1
Cartesian
0.000 0.000 0.000
3.407 3.407 3.407
5.110 5.110 5.110
1.703 1.703 1.703
```

Computed properties:
density of states at the Fermi level	4.922	states/eV per cell
ΔH_f (0 K)	-324.7	meV per atom
magnetic moment	3.058	Bohr magnetons per cell
calculated density	13.000	g cm⁻³

***

Entry 12:
Np2IrS6 | PBE | optimized geometry

Geometry as POSCAR:
```
Np2IrS6
1.0
6.083 0.000 0.000
0.000 6.083 0.000
0.000 0.000 11.159
Np Ir S
4 2 12
Cartesian
0.000 0.000 1.927
0.000 0.000 9.232
3.041 3.041 3.652
3.041 3.041 7.507
0.000 0.000 5.580
3.041 3.041 0.000
1.194 1.194 3.906
1.194 1.194 7.253
1.310 1.310 0.000
1.732 4.351 5.580
1.847 4.236 1.674
1.847 4.236 9.486
4.236 1.847 1.674
4.236 1.847 9.486
4.351 1.732 5.580
4.773 4.773 0.000
4.889 4.889 3.906
4.889 4.889 7.253
```

Computed properties:
density of states at the Fermi level	33.573	states/eV per cell
E_form (uncorrected)	-0.79	eV/atom
magnetic moment	9.984	Bohr magnetons per cell
calculated density	6.906	g cm⁻³

***

Entry 13:
NpIrS3 | PBE | optimized geometry

Geometry as POSCAR:
```
NpIrS3
1.0
7.106 0.000 0.000
0.000 3.741 0.000
-2.828 0.000 8.905
Np Ir S
2 2 6
Cartesian
0.364 0.935 4.016
3.914 2.805 4.889
0.390 0.935 7.443
3.889 2.805 1.462
-1.479 0.935 5.944
-0.422 2.805 8.544
2.051 2.805 2.987
2.228 0.935 5.918
4.701 0.935 0.361
5.758 2.805 2.961
```

Computed properties:
density of states at the Fermi level	17.173	states/eV per cell
E_form (uncorrected)	-0.70	eV/atom
magnetic moment	6.666	Bohr magnetons per cell
energy relative to the lowest polymorph listed for this composition	0.135	eV/atom
calculated density	7.371	g cm⁻³

***

Entry 14:
NpIrS3 | PBE | optimized geometry

Geometry as POSCAR:
```
NpIrS3
1.0
6.560 0.000 0.000
0.000 3.731 0.000
-0.397 0.000 7.736
Np Ir S
2 2 6
Cartesian
0.739 0.933 2.282
5.425 2.798 5.454
1.935 2.798 6.511
4.228 0.933 1.225
0.470 0.933 6.932
1.327 2.798 4.189
2.686 2.798 1.134
3.477 0.933 6.602
4.836 0.933 3.547
5.694 2.798 0.804
```

Computed properties:
density of states at the Fermi level	15.537	states/eV per cell
E_form (uncorrected)	-0.83	eV/atom
magnetic moment	8.005	Bohr magnetons per cell
energy relative to the lowest polymorph listed for this composition	0.000	eV/atom
calculated density	9.215	g cm⁻³

***

Entry 15:
Np2IrS5 | PBE | optimized geometry

Geometry as POSCAR:
```
Np2IrS5
1.0
2.672 -5.971 0.000
2.672 5.971 0.000
0.000 0.000 11.664
Np Ir S
4 2 10
Cartesian
2.672 4.105 6.703
2.672 4.105 10.794
2.672 -4.105 0.871
2.672 -4.105 4.961
2.672 3.476 2.916
2.672 -3.476 8.748
2.672 5.305 1.448
2.672 5.305 4.384
2.672 2.425 8.748
2.672 1.977 0.968
2.672 1.977 4.864
2.672 -1.977 6.800
2.672 -1.977 10.696
2.672 -2.425 2.916
2.672 -5.305 7.281
2.672 -5.305 10.216
```

Computed properties:
density of states at the Fermi level	36.542	states/eV per cell
E_form (uncorrected)	-0.86	eV/atom
magnetic moment	11.968	Bohr magnetons per cell
calculated density	7.375	g cm⁻³

***

Entry 16:
NpIrS | PBE | optimized geometry

Geometry as POSCAR:
```
NpIrS
1.0
3.728 0.000 0.000
0.000 3.728 0.000
0.000 0.000 8.133
Np Ir S
2 2 2
Cartesian
0.932 0.932 1.770
2.796 2.796 6.363
0.932 0.932 4.461
2.796 2.796 3.672
0.932 0.932 7.049
2.796 2.796 1.084
```

Computed properties:
density of states at the Fermi level	16.344	states/eV per cell
E_form (uncorrected)	-0.70	eV/atom
magnetic moment	6.086	Bohr magnetons per cell
calculated density	13.554	g cm⁻³

***

Entry 17:
Np6IrS12 | PBE | optimized geometry

Geometry as POSCAR:
```
Np6IrS12
1.0
5.894 3.403 3.592
-5.894 3.403 3.592
0.000 -6.806 3.592
Np Ir S
6 1 12
Cartesian
-3.993 -1.187 5.569
-0.969 -4.051 5.207
-3.024 2.865 5.207
3.024 -2.865 5.569
0.969 4.051 5.569
3.993 1.187 5.207
0.000 0.000 5.388
-5.025 1.163 4.717
-3.520 -3.770 6.058
-1.481 -1.493 4.233
1.505 -4.934 4.717
-0.553 2.029 4.233
-2.033 0.536 6.542
2.033 -0.536 4.233
0.553 -2.029 6.542
-1.505 4.934 6.058
1.481 1.493 6.542
3.520 3.770 4.717
5.025 -1.163 6.058
```

Computed properties:
density of states at the Fermi level	53.834	states/eV per cell
E_form (uncorrected)	-1.20	eV/atom
magnetic moment	21.000	Bohr magnetons per cell
calculated density	7.679	g cm⁻³

***

Entry 18:
Np3IrS6 | PBE | optimized geometry

Geometry as POSCAR:
```
Np3IrS6
1.0
5.304 -6.529 0.000
5.304 6.529 0.000
0.000 0.000 6.215
Np Ir S
6 2 12
Cartesian
5.304 5.073 3.107
3.478 1.338 2.585
3.478 -1.338 5.692
7.130 1.338 2.585
7.130 -1.338 5.692
5.304 -5.073 0.000
5.304 2.455 5.154
5.304 -2.455 2.046
3.432 3.488 4.253
1.716 0.361 4.401
1.716 -0.361 1.294
5.304 2.927 1.276
7.177 3.488 4.253
5.304 0.302 4.348
5.304 -0.302 1.240
3.432 -3.488 1.146
5.304 -2.927 4.383
8.892 0.361 4.401
8.892 -0.361 1.294
7.177 -3.488 1.146
```

Computed properties:
density of states at the Fermi level	57.372	states/eV per cell
E_form (uncorrected)	-1.04	eV/atom
magnetic moment	5.908	Bohr magnetons per cell
calculated density	8.453	g cm⁻³

***

Entry 19:
Np2Tl3IrS6 | PBE | optimized geometry

Geometry as POSCAR:
```
Np2Tl3IrS6
1.0
3.237 -5.634 0.000
3.237 5.634 0.000
-2.325 0.000 7.965
Np Tl Ir S
2 3 1 6
Cartesian
3.237 3.779 0.000
3.237 -3.779 0.000
-1.163 0.000 3.982
2.074 1.940 3.982
2.074 -1.940 3.982
3.237 0.000 0.000
-0.064 1.725 6.496
1.279 0.000 1.524
-0.064 -1.725 6.496
4.212 1.725 1.469
2.869 0.000 6.440
4.212 -1.725 1.469
```

Computed properties:
density of states at the Fermi level	19.360	states/eV per cell
E_form (uncorrected)	-0.73	eV/atom
magnetic moment	7.327	Bohr magnetons per cell
calculated density	8.413	g cm⁻³

***

Entry 20:
NpSb2Ir | PBE | optimized geometry

Geometry as POSCAR:
```
NpSb2Ir
1.0
1.651 0.953 10.184
-1.651 0.953 10.184
0.000 -1.907 10.184
Np Sb Ir
1 2 1
Cartesian
0.000 0.000 0.000
0.000 0.000 3.147
0.000 0.000 27.407
0.000 0.000 15.277
```

Computed properties:
density of states at the Fermi level	6.727	states/eV per cell
E_form (uncorrected)	0.30	eV/atom
magnetic moment	4.512	Bohr magnetons per cell
calculated density	11.612	g cm⁻³